Below is CsFeAsO4 after structural relaxation, with properties calculated at the GGA+U level.

a = 5.669 Å, b = 6.137 Å, c = 8.005 Å
α = 90.00°, β = 107.17°, γ = 90.00°
Fractional positions:
Cs  0.205  0.250  0.439
Cs  0.795  0.750  0.561
Fe  0.364  0.250  0.997
Fe  0.636  0.750  0.003
As  0.244  0.750  0.166
As  0.756  0.250  0.834
O  0.015  0.250  0.011
O  0.187  0.750  0.362
O  0.447  0.539  0.150
O  0.447  0.961  0.150
O  0.553  0.039  0.850
O  0.553  0.461  0.850
O  0.813  0.250  0.638
O  0.985  0.750  0.989

The calculation puts the calculated volume at 266.1 Å³/cell. The mass density comes out at 4.1 Mg/m³. The total energy is -82.94 eV/cell. The symmetry is P2_1/m, No. 11.



Below is CsFeAs2O8 after structural relaxation, with properties calculated at the GGA+U level.

a = 9.631 Å, b = 9.631 Å, c = 9.631 Å
α = 31.62°, β = 31.62°, γ = 31.62°
Fractional positions:
Cs  0.000  0.000  0.000
Fe  0.500  0.500  0.500
As  0.230  0.230  0.230
As  0.770  0.770  0.770
O  0.128  0.507  0.730
O  0.270  0.493  0.872
O  0.292  0.292  0.292
O  0.493  0.872  0.270
O  0.507  0.730  0.128
O  0.708  0.708  0.708
O  0.730  0.128  0.507
O  0.872  0.270  0.493

The calculation puts the calculated volume at 218.0 Å³/cell. The mass density comes out at 3.6 Mg/m³. The total energy is -68.63 eV/cell. The symmetry is R32, No. 155.